(1)
Compound: PaIn2Rh5
Source: the Alexandria database
Functional: PBE-GGA
Structure: optimized geometry

Results
DFT formation energy ... -0.5854 eV per atom
Calculated density ... 11.99 Mg/m³
Density of states at the Fermi level ... 14.17 states/eV/cell
Total moment ... 0.000 μB/f.u.

abc: 4.2454 4.2454 14.9929
angles: 90.00 90.00 90.00
Last column: nearest neighbours and their distance in Å.
Space group I4/mmm (No. 139)
Symmetry-distinct sites (fractional):
1 Pa 0.0000 0.0000 0.0000  12 Rh 2.86-3.00
2 In 0.0000 0.0000 0.2515  8 Rh 2.79-2.82, 4 In 3.00
3 Rh 0.0000 0.0000 0.5000  8 Rh 2.86, 4 Pa 3.00
4 Rh 0.0000 0.5000 0.1275  4 In 2.79-2.82, 2 Pa 2.86, 6 Rh 2.86-3.00

=====

(2)
Compound: Pa2InRh
Source: the Alexandria database
Functional: PBE-GGA
Structure: optimized geometry

Results
DFT formation energy ... 0.0399 eV per atom
Calculated density ... 11.79 Mg/m³
Density of states at the Fermi level ... 19.13 states/eV/cell
Total moment ... 0.001 μB/f.u.
Energy relative to the lowest polymorph listed for this composition ... 393 meV/atom

abc: 3.1570 3.1570 33.2694
angles: 90.00 90.00 120.00
Last column: nearest neighbours and their distance in Å.
Space group R-3m (No. 166, hexagonal axes)
Symmetry-distinct sites (fractional):
1 Pa 0.0000 0.0000 0.0977  3 Rh 2.93, 6 Pa 3.16, 1 In 3.25
2 In 0.0000 0.0000 0.0000  6 In 3.16, 2 Pa 3.25
3 Rh 0.0000 0.0000 0.5000  6 Pa 2.93, 6 Rh 3.16

=====

(3)
Compound: PaIn8Rh6
Source: the Alexandria database
Functional: PBE-GGA
Structure: optimized geometry

Results
DFT formation energy ... -0.4846 eV per atom
Calculated density ... 9.67 Mg/m³
Density of states at the Fermi level ... 29.39 states/eV/cell
Total moment ... 0.000 μB/f.u.

abc: 7.8991 7.8991 16.8375
angles: 90.00 90.00 120.00
Last column: nearest neighbours and their distance in Å.
Space group R-3 (No. 148, hexagonal axes)
Symmetry-distinct sites (fractional):
1 Pa 0.0000 0.0000 0.0000  6 Rh 2.68
2 In 0.0000 0.0000 0.3329  6 Rh 2.79-2.81
3 In 0.0050 0.3462 0.8799  5 Rh 2.77-2.91, 3 In 3.06-3.09
4 Rh 0.0024 0.3244 0.0487  1 Pa 2.68, 7 In 2.77-2.91

=====

(4)
Compound: PaIn5Rh6
Source: the Alexandria database
Functional: PBE-GGA
Structure: optimized geometry

Results
DFT formation energy ... -0.5209 eV per atom
Calculated density ... 11.15 Mg/m³
Density of states at the Fermi level ... 9.09 states/eV/cell
Total moment ... 0.000 μB/f.u.

abc: 4.4519 13.3625 7.1249
angles: 90.00 90.00 90.00
Last column: nearest neighbours and their distance in Å.
Space group Cmmm (No. 65)
Symmetry-distinct sites (fractional):
1 Pa 0.0000 0.0000 0.0000  8 Rh 2.82-2.84
2 In 0.0000 0.0000 0.5000  8 Rh 2.80-2.88, 4 In 3.14
3 In 0.0000 0.3261 0.0000  8 Rh 2.82-2.90, 2 In 3.02
4 In 0.0000 0.3346 0.5000  8 Rh 2.84-2.88, 4 In 3.14-3.17
5 Rh 0.0000 0.1637 0.2535  7 In 2.80-2.88, 1 Pa 2.84, 2 Rh 3.12
6 Rh 0.0000 0.5000 0.2430  2 Pa 2.82, 6 In 2.87-2.90, 4 Rh 3.12

=====

(5)
Compound: PaInRh
Source: the Alexandria database
Functional: PBE-GGA
Structure: optimized geometry

Results
DFT formation energy ... -0.5481 eV per atom
Calculated density ... 11.50 Mg/m³
Density of states at the Fermi level ... 18.48 states/eV/cell
Total moment ... 0.191 μB/f.u.

abc: 13.6501 3.6864 7.7292
angles: 90.00 90.00 90.00
Last column: nearest neighbours and their distance in Å.
Space group Pmma (No. 51)
Symmetry-distinct sites (fractional):
1 Pa 0.0486 0.0000 0.2164  4 Rh 2.94-2.98
2 Pa 0.2500 0.0000 0.8336  5 Rh 2.87-2.93
3 In 0.1107 0.5000 0.5589  3 Rh 2.77-2.85
4 In 0.2500 0.5000 0.1854  4 Rh 2.78-2.88
5 Rh 0.0982 0.5000 0.9266  2 In 2.85-2.88, 6 Pa 2.87-2.98, 1 Rh 2.91
6 Rh 0.2500 0.0000 0.4541  6 In 2.77-2.78, 1 Pa 2.93

=====

(6)
Compound: PaIn5Rh
Source: the Alexandria database
Functional: PBE-GGA
Structure: optimized geometry

Results
DFT formation energy ... -0.2835 eV per atom
Calculated density ... 9.21 Mg/m³
Density of states at the Fermi level ... 5.60 states/eV/cell
Total moment ... 0.004 μB/f.u.

abc: 4.6834 4.6834 7.4628
angles: 90.00 90.00 90.00
Last column: nearest neighbours and their distance in Å.
Space group P4/mmm (No. 123)
Symmetry-distinct sites (fractional):
1 Pa 0.0000 0.0000 0.0000  12 In 3.24-3.31
2 In 0.0000 0.5000 0.3004  2 Rh 2.78, 1 In 2.98
3 In 0.5000 0.5000 0.0000  8 In 3.24, 4 Pa 3.31
4 Rh 0.0000 0.0000 0.5000  8 In 2.78

=====

(7)
Compound: PaInRh4
Source: the Alexandria database
Functional: PBE-GGA
Structure: optimized geometry

Results
DFT formation energy ... -0.5188 eV per atom
Calculated density ... 12.00 Mg/m³
Density of states at the Fermi level ... 21.68 states/eV/cell
Total moment ... 0.000 μB/f.u.
Energy relative to the lowest polymorph listed for this composition ... 0 meV/atom

abc: 7.4845 7.4845 7.4845
angles: 90.00 90.00 90.00
Last column: nearest neighbours and their distance in Å.
Space group F-43m (No. 216)
Symmetry-distinct sites (fractional):
1 Pa 0.0000 0.0000 0.0000  12 Rh 3.11, 4 In 3.24
2 In 0.2500 0.2500 0.7500  12 Rh 3.10, 4 Pa 3.24
3 Rh 0.1240 0.1240 0.3760  6 Rh 2.63-2.67

=====

(8)
Compound: PaInRh6
Source: the Alexandria database
Functional: PBE-GGA
Structure: optimized geometry

Results
DFT formation energy ... -0.5340 eV per atom
Calculated density ... 12.38 Mg/m³
Density of states at the Fermi level ... 5.91 states/eV/cell
Total moment ... 0.000 μB/f.u.

abc: 5.6657 5.6657 4.0246
angles: 90.00 90.00 90.00
Last column: nearest neighbours and their distance in Å.
Space group P4/mmm (No. 123)
Symmetry-distinct sites (fractional):
1 Pa 0.0000 0.0000 0.0000  12 Rh 2.83-2.84
2 In 0.5000 0.5000 0.0000  12 Rh 2.83-2.84
3 Rh 0.0000 0.5000 0.0000  2 In 2.83, 2 Pa 2.83, 8 Rh 2.84
4 Rh 0.2505 0.2505 0.5000  8 Rh 2.83-2.84, 2 In 2.84, 2 Pa 2.84

=====

(9)
Compound: PaInRh
Source: the Alexandria database
Functional: PBE-GGA
Structure: optimized geometry

Results
DFT formation energy ... -0.3174 eV per atom
Calculated density ... 10.13 Mg/m³
Density of states at the Fermi level ... 23.70 states/eV/cell
Total moment ... 0.008 μB/f.u.

abc: 4.7610 4.7610 22.4893
angles: 90.00 90.00 120.00
Last column: nearest neighbours and their distance in Å.
Space group R-3m (No. 166, hexagonal axes)
Symmetry-distinct sites (fractional):
1 Pa 0.0000 0.0000 0.1153  4 Rh 2.75-2.78
2 In 0.0000 0.0000 0.3663  4 Rh 2.89-3.09, 3 In 3.12
3 Rh 0.0000 0.0000 0.2377  4 Pa 2.75-2.78, 1 In 2.89

=====

(10)
Compound: PaInRh4S8
Source: the Alexandria database
Functional: PBE-GGA
Structure: optimized geometry

Results
Calculated density ... 6.16 Mg/m³
Total energy ... -0.442 Ry per atom
Total moment ... 0.000 μB/f.u.

abc: 7.3865 7.3865 17.3617
angles: 90.00 90.00 120.00
Last column: nearest neighbours and their distance in Å.
Space group R3m (No. 160, hexagonal axes)
Symmetry-distinct sites (fractional):
1 Pa 0.0000 0.0000 0.0000  6 S 2.59-2.72
2 In 0.0000 0.0000 0.3860  4 S 2.46-2.49
3 Rh 0.0000 0.0000 0.6407  4 S 2.30-2.35
4 Rh 0.0117 0.5058 0.5133  6 S 2.42-2.47
5 S 0.0000 0.0000 0.2444  1 In 2.46, 3 Rh 2.47
6 S 0.0000 0.0000 0.7729  4 Rh 2.30-2.42
7 S 0.0016 0.5008 0.2494  3 Rh 2.35-2.42, 1 Pa 2.59
8 S 0.0248 0.5124 0.7749  2 Rh 2.44, 1 In 2.49, 1 Pa 2.72

=====

(11)
Compound: PaZnInRh
Source: the Alexandria database
Functional: PBE-GGA
Structure: optimized geometry

Results
DFT formation energy ... -0.3416 eV per atom
Calculated density ... 10.88 Mg/m³
Density of states at the Fermi level ... 12.92 states/eV/cell
Total moment ... 0.000 μB/f.u.

abc: 6.7952 6.7952 6.7952
angles: 90.00 90.00 90.00
Last column: nearest neighbours and their distance in Å.
Space group F-43m (No. 216)
Symmetry-distinct sites (fractional):
1 Pa 0.0000 0.0000 0.0000  4 Rh 2.94, 4 Zn 2.94
2 Zn 0.2500 0.2500 0.7500  4 Pa 2.94, 4 In 2.94
3 In 0.0000 0.0000 0.5000  4 Zn 2.94, 4 Rh 2.94
4 Rh 0.2500 0.2500 0.2500  4 In 2.94, 4 Pa 2.94

=====

(12)
Compound: Pa2InRu
Source: the Alexandria database
Functional: PBE-GGA
Structure: optimized geometry

Results
DFT formation energy ... -0.1463 eV per atom
Calculated density ... 12.17 Mg/m³
Density of states at the Fermi level ... 5.65 states/eV/cell
Total moment ... 0.000 μB/f.u.
Energy relative to the lowest polymorph listed for this composition ... 0 meV/atom

abc: 3.6195 3.6195 7.0603
angles: 90.00 90.00 90.00
Last column: nearest neighbours and their distance in Å.
Space group P4/mmm (No. 123)
Symmetry-distinct sites (fractional):
1 Pa 0.0000 0.0000 0.1995  1 Pa 2.82, 4 Ru 2.92
2 In 0.5000 0.5000 0.5000  8 Pa 3.32, 2 Ru 3.53, 4 In 3.62
3 Ru 0.5000 0.5000 0.0000  8 Pa 2.92

=====

(13)
Compound: PaInRu
Source: the Alexandria database
Functional: PBE-GGA
Structure: optimized geometry

Results
DFT formation energy ... -0.2775 eV per atom
Calculated density ... 11.01 Mg/m³
Density of states at the Fermi level ... 5.30 states/eV/cell
Total moment ... 0.000 μB/f.u.

abc: 4.9772 4.6965 5.8800
angles: 90.00 101.33 90.00
Last column: nearest neighbours and their distance in Å.
Space group P2_1/m (No. 11)
Symmetry-distinct sites (fractional):
1 Pa 0.0830 0.2500 0.2867  1 Ru 2.46
2 In 0.4258 0.2500 0.8463  3 Ru 2.85-2.88, 2 In 2.97
3 Ru 0.3469 0.7500 0.5671  1 Pa 2.46

=====

(14)
Compound: Pa2InRu
Source: the Alexandria database
Functional: PBE-GGA
Structure: optimized geometry

Results
DFT formation energy ... -0.1088 eV per atom
Calculated density ... 10.93 Mg/m³
Density of states at the Fermi level ... 19.40 states/eV/cell
Total moment ... 0.000 μB/f.u.
Energy relative to the lowest polymorph listed for this composition ... 38 meV/atom

abc: 3.7942 3.7942 24.7849
angles: 90.00 90.00 120.00
Last column: nearest neighbours and their distance in Å.
Space group R-3m (No. 166, hexagonal axes)
Symmetry-distinct sites (fractional):
1 Pa 0.0000 0.0000 0.2333  3 Ru 2.74
2 In 0.0000 0.0000 0.0000  6 Pa 3.31
3 Ru 0.0000 0.0000 0.5000  6 Pa 2.74

=====

(15)
Compound: Pa2In2Ru3
Source: the Alexandria database
Functional: PBE-GGA
Structure: optimized geometry

Results
DFT formation energy ... -0.3508 eV per atom
Calculated density ... 11.19 Mg/m³
Density of states at the Fermi level ... 4.41 states/eV/cell
Total moment ... 0.000 μB/f.u.

abc: 3.8609 5.5590 7.2449
angles: 80.20 74.78 89.92
Last column: nearest neighbours and their distance in Å.
Space group P-1 (No. 2)
Symmetry-distinct sites (fractional):
1 Pa 0.1421 0.0986 0.2137  4 Ru 2.63-2.77
2 In 0.3988 0.4008 0.7000  4 Ru 2.79-2.85, 1 In 2.82
3 Ru 0.2455 0.6770 0.0076  2 Pa 2.63-2.66, 2 Ru 2.77, 3 In 2.79-2.85
4 Ru 0.5000 0.0000 0.5000  4 Pa 2.76-2.77, 2 In 2.83

=====

(16)
Compound: PaInRu2
Source: the Alexandria database
Functional: PBE-GGA
Structure: optimized geometry

Results
DFT formation energy ... -0.1039 eV per atom
Calculated density ... 11.40 Mg/m³
Density of states at the Fermi level ... 7.81 states/eV/cell
Total moment ... 0.000 μB/f.u.

abc: 3.4642 3.4642 23.0512
angles: 90.00 90.00 120.00
Last column: nearest neighbours and their distance in Å.
Space group R-3m (No. 166, hexagonal axes)
Symmetry-distinct sites (fractional):
1 Pa 0.0000 0.0000 0.0000  6 Ru 2.64
2 In 0.0000 0.0000 0.5000  6 Ru 2.91
3 Ru 0.0000 0.0000 0.2585  3 Pa 2.64, 3 In 2.91

=====

(17)
Compound: PaInRu
Source: the Alexandria database
Functional: PBE-GGA
Structure: optimized geometry

Results
DFT formation energy ... -0.2697 eV per atom
Calculated density ... 11.95 Mg/m³
Density of states at the Fermi level ... 4.12 states/eV/cell
Total moment ... 0.000 μB/f.u.

abc: 3.1947 3.1947 12.1673
angles: 90.00 90.00 90.00
Last column: nearest neighbours and their distance in Å.
Space group I4mm (No. 107)
Symmetry-distinct sites (fractional):
1 Pa 0.0000 0.0000 0.0000  4 Ru 2.85
2 In 0.0000 0.0000 0.7085  4 Ru 2.89, 4 In 3.19
3 Ru 0.0000 0.0000 0.3570  4 Pa 2.85, 4 In 2.89

=====

(18)
Compound: PaInRu2
Source: the Alexandria database
Functional: PBE-GGA
Structure: optimized geometry

Results
DFT formation energy ... -0.3734 eV per atom
Calculated density ... 12.17 Mg/m³
Density of states at the Fermi level ... 8.00 states/eV/cell
Total moment ... 0.000 μB/f.u.

abc: 6.6878 6.6878 6.6878
angles: 90.00 90.00 90.00
Last column: nearest neighbours and their distance in Å.
Space group Fm-3m (No. 225)
Symmetry-distinct sites (fractional):
1 Pa 0.0000 0.0000 0.0000  8 Ru 2.90
2 In 0.0000 0.0000 0.5000  8 Ru 2.90
3 Ru 0.2500 0.2500 0.2500  4 In 2.90, 4 Pa 2.90

=====

(19)
Compound: PaIn5Ru6
Source: the Alexandria database
Functional: PBE-GGA
Structure: optimized geometry

Results
DFT formation energy ... -0.1457 eV per atom
Calculated density ... 11.26 Mg/m³
Density of states at the Fermi level ... 14.46 states/eV/cell
Total moment ... 0.000 μB/f.u.

abc: 4.6315 13.7063 6.5557
angles: 90.00 90.00 90.00
Last column: nearest neighbours and their distance in Å.
Space group Cmmm (No. 65)
Symmetry-distinct sites (fractional):
1 Pa 0.0000 0.0000 0.0000  8 Ru 2.79-2.84
2 In 0.0000 0.0000 0.5000  8 Ru 2.80-2.83
3 In 0.0000 0.3311 0.0000  8 Ru 2.80-2.84
4 In 0.0000 0.3322 0.5000  8 Ru 2.82-2.84
5 Ru 0.0000 0.1649 0.2484  1 Pa 2.79, 7 In 2.80-2.84
6 Ru 0.0000 0.5000 0.2509  6 In 2.82-2.84, 2 Pa 2.84

=====

(20)
Compound: Pa2InRu4
Source: the Alexandria database
Functional: PBE-GGA
Structure: optimized geometry

Results
DFT formation energy ... -0.3809 eV per atom
Calculated density ... 12.31 Mg/m³
Density of states at the Fermi level ... 7.81 states/eV/cell
Total moment ... 0.000 μB/f.u.

abc: 7.5727 8.5772 4.0751
angles: 90.00 90.00 90.00
Last column: nearest neighbours and their distance in Å.
Space group Cmmm (No. 65)
Symmetry-distinct sites (fractional):
1 Pa 0.0000 0.2015 0.0000  6 Ru 2.59-2.81
2 In 0.0000 0.5000 0.5000  8 Ru 2.76-2.86
3 Ru 0.2454 0.5000 0.0000  2 Pa 2.59, 2 In 2.76
4 Ru 0.2500 0.2500 0.5000  4 Pa 2.81, 2 In 2.86, 4 Ru 2.96